--- one ---
## SnHg2W2 (PBE-GGA)

Data for a relaxed SnHg2W2 crystal.

Output
D(E_F): 3.4 states/eV per cell
total moment: 0.00 μB/cell

Cell lengths 3.8960, 3.8960, 7.5322 Å; angles 75.01, 75.01, 90.00 degrees
Last column: nearest neighbours and their distance in Å.
Element x y z (fractional)
1 W 0.4140 0.4140 0.1720  1 W 2.41
2 Hg 0.2500 0.7500 0.5000  4 Hg 2.75, 4 W 3.01
3 W 0.5860 0.5860 0.8280  1 W 2.41
4 Sn 0.0000 0.0000 0.0000  8 W 3.01
5 Hg 0.7500 0.2500 0.5000  4 Hg 2.75, 4 W 3.01

---

--- two ---
## SnHg2W2 (PBE-GGA)

Data for a relaxed SnHg2W2 crystal.

Output
D(E_F): 5.0 states/eV per cell
total moment: 0.00 μB/cell

Cell lengths 6.9431, 6.9431, 4.3100 Å; angles 90.00, 90.00, 90.00 degrees
Last column: nearest neighbours and their distance in Å.
Element x y z (fractional)
1 Sn 0.5000 0.5000 0.0000  4 W 2.75
2 Sn 0.0000 0.0000 0.0000  4 W 2.75
3 Hg 0.6740 0.8260 0.5000  6 W 2.92-3.01
4 Hg 0.8260 0.3260 0.5000  6 W 2.92-3.01
5 W 0.3753 0.8753 0.0000  1 W 2.45
6 Hg 0.1740 0.6740 0.5000  6 W 2.92-3.01
7 W 0.1247 0.3753 0.0000  1 W 2.45
8 W 0.6247 0.1247 0.0000  1 W 2.45
9 W 0.8753 0.6247 0.0000  1 W 2.45
10 Hg 0.3260 0.1740 0.5000  6 W 2.92-3.01

---

Most stable: two (next structure +272 meV per atom)

---

--- one ---
## YSn3Hg (PBE-GGA)

Data for a relaxed YSn3Hg crystal.

Output
D(E_F): 3.0 states/eV per cell
total moment: 0.00 μB/cell

Cell lengths 5.4981, 5.4981, 5.4981 Å; angles 90.00, 90.00, 90.00 degrees
Last column: nearest neighbours and their distance in Å.
Element x y z (fractional)
1 Sn 0.0000 0.5000 0.0000  2 Hg 2.75
2 Sn 0.0000 0.0000 0.5000  2 Hg 2.75
3 Y 0.5000 0.5000 0.5000  12 Sn 3.89
4 Hg 0.0000 0.0000 0.0000  6 Sn 2.75
5 Sn 0.5000 0.0000 0.0000  2 Hg 2.75

---

--- two ---
## YSn3Hg (PBE-GGA)

Data for a relaxed YSn3Hg crystal.

Output
D(E_F): 6.9 states/eV per cell
total moment: 0.00 μB/cell

Cell lengths 5.8567, 5.8567, 5.8567 Å; angles 90.00, 90.00, 90.00 degrees
Last column: nearest neighbours and their distance in Å.
Element x y z (fractional)
1 Sn 0.0000 0.5000 0.0000  2 Y 2.93
2 Hg 0.5000 0.5000 0.5000  12 Sn 4.14
3 Sn 0.5000 0.0000 0.0000  2 Y 2.93
4 Sn 0.0000 0.0000 0.5000  2 Y 2.93
5 Y 0.0000 0.0000 0.0000  6 Sn 2.93

---

--- three ---
## YSn3Hg (PBE-GGA)

Data for a relaxed YSn3Hg crystal.

Output
D(E_F): 11.0 states/eV per cell
total moment: 0.00 μB/cell

Cell lengths 9.9651, 6.4905, 8.7820 Å; angles 90.00, 90.00, 90.00 degrees
Last column: nearest neighbours and their distance in Å.
Element x y z (fractional)
1 Y 0.1524 0.2500 0.1190  2 Hg 3.11-3.14, 8 Sn 3.20-3.34
2 Sn 0.6492 0.2500 0.3958  6 Sn 3.22-3.28, 3 Y 3.25-3.59
3 Y 0.6524 0.7500 0.3810  2 Hg 3.11-3.14, 8 Sn 3.20-3.34
4 Y 0.8476 0.7500 0.8810  2 Hg 3.11-3.14, 8 Sn 3.20-3.34
5 Sn 0.3845 0.9993 0.2899  3 Y 3.20-3.34, 5 Sn 3.22-3.28, 2 Hg 3.29-3.34
6 Sn 0.8845 0.4993 0.2101  3 Y 3.20-3.34, 5 Sn 3.22-3.28, 2 Hg 3.29-3.34
7 Sn 0.1155 0.5007 0.7899  3 Y 3.20-3.34, 5 Sn 3.22-3.28, 2 Hg 3.29-3.34
8 Sn 0.6155 0.0007 0.7101  3 Y 3.20-3.34, 5 Sn 3.22-3.28, 2 Hg 3.29-3.34
9 Sn 0.3845 0.5007 0.2899  3 Y 3.20-3.34, 5 Sn 3.22-3.28, 2 Hg 3.29-3.34
10 Sn 0.1155 0.9993 0.7899  3 Y 3.20-3.34, 5 Sn 3.22-3.28, 2 Hg 3.29-3.34
11 Sn 0.8845 0.0007 0.2101  3 Y 3.20-3.34, 5 Sn 3.22-3.28, 2 Hg 3.29-3.34
12 Y 0.3476 0.2500 0.6190  2 Hg 3.11-3.14, 8 Sn 3.20-3.34
13 Hg 0.0672 0.2500 0.4627  2 Y 3.11-3.14, 4 Sn 3.29-3.34
14 Sn 0.1492 0.7500 0.1042  6 Sn 3.22-3.28, 3 Y 3.25-3.59
15 Sn 0.8508 0.2500 0.8958  6 Sn 3.22-3.28, 3 Y 3.25-3.59
16 Sn 0.6155 0.4993 0.7101  3 Y 3.20-3.34, 5 Sn 3.22-3.28, 2 Hg 3.29-3.34
17 Hg 0.4328 0.2500 0.9627  2 Y 3.11-3.14, 4 Sn 3.29-3.34
18 Hg 0.9328 0.7500 0.5373  2 Y 3.11-3.14, 4 Sn 3.29-3.34
19 Hg 0.5672 0.7500 0.0373  2 Y 3.11-3.14, 4 Sn 3.29-3.34
20 Sn 0.3508 0.7500 0.6042  6 Sn 3.22-3.28, 3 Y 3.25-3.59

---

Most stable: three (next structure +662 meV per atom)

---

--- one ---
## YSn2Hg2 (PBE-GGA)

Data for a relaxed YSn2Hg2 crystal.

Output
D(E_F): 2.4 states/eV per cell
total moment: 0.00 μB/cell

Cell lengths 4.2445, 4.2445, 8.1669 Å; angles 74.94, 74.94, 90.00 degrees
Last column: nearest neighbours and their distance in Å.
Element x y z (fractional)
1 Sn 0.5964 0.5964 0.8072  1 Sn 2.93, 4 Hg 3.15
2 Hg 0.7500 0.2500 0.5000  4 Hg 3.00, 4 Sn 3.15
3 Y 0.0000 0.0000 0.0000  8 Sn 3.34
4 Hg 0.2500 0.7500 0.5000  4 Hg 3.00, 4 Sn 3.15
5 Sn 0.4036 0.4036 0.1928  1 Sn 2.93, 4 Hg 3.15

---

--- two ---
## YSn2Hg2 (PBE-GGA)

Data for a relaxed YSn2Hg2 crystal.

Output
D(E_F): 5.2 states/eV per cell
total moment: 0.00 μB/cell

Cell lengths 8.2822, 8.2822, 3.8352 Å; angles 90.00, 90.00, 90.00 degrees
Last column: nearest neighbours and their distance in Å.
Element x y z (fractional)
1 Sn 0.1356 0.3644 0.0000  6 Hg 3.02-3.16, 1 Sn 3.18, 2 Y 3.22
2 Y 0.0000 0.0000 0.0000  4 Sn 3.22
3 Hg 0.6655 0.8345 0.5000  6 Sn 3.02-3.16
4 Hg 0.8345 0.3345 0.5000  6 Sn 3.02-3.16
5 Hg 0.1655 0.6655 0.5000  6 Sn 3.02-3.16
6 Y 0.5000 0.5000 0.0000  4 Sn 3.22
7 Hg 0.3345 0.1655 0.5000  6 Sn 3.02-3.16
8 Sn 0.3644 0.8644 0.0000  6 Hg 3.02-3.16, 1 Sn 3.18, 2 Y 3.22
9 Sn 0.8644 0.6356 0.0000  6 Hg 3.02-3.16, 1 Sn 3.18, 2 Y 3.22
10 Sn 0.6356 0.1356 0.0000  6 Hg 3.02-3.16, 1 Sn 3.18, 2 Y 3.22

---

Most stable: two (next structure +10 meV per atom)

---

--- one ---
## YSnHg3 (PBE-GGA)

Data for a relaxed YSnHg3 crystal.

Output
D(E_F): 6.8 states/eV per cell
total moment: 0.00 μB/cell

Cell lengths 5.7250, 5.7250, 5.7250 Å; angles 90.00, 90.00, 90.00 degrees
Last column: nearest neighbours and their distance in Å.
Element x y z (fractional)
1 Hg 0.0000 0.5000 0.0000  2 Y 2.86
2 Sn 0.5000 0.5000 0.5000  12 Hg 4.05
3 Y 0.0000 0.0000 0.0000  6 Hg 2.86
4 Hg 0.5000 0.0000 0.0000  2 Y 2.86
5 Hg 0.0000 0.0000 0.5000  2 Y 2.86

---

--- two ---
## YSnHg3 (PBE-GGA)

Data for a relaxed YSnHg3 crystal.

Output
D(E_F): 3.5 states/eV per cell
total moment: 0.00 μB/cell

Cell lengths 5.4471, 5.4471, 5.4471 Å; angles 90.00, 90.00, 90.00 degrees
Last column: nearest neighbours and their distance in Å.
Element x y z (fractional)
1 Y 0.5000 0.5000 0.5000  12 Hg 3.85
2 Hg 0.5000 0.0000 0.0000  2 Sn 2.72
3 Hg 0.0000 0.5000 0.0000  2 Sn 2.72
4 Hg 0.0000 0.0000 0.5000  2 Sn 2.72
5 Sn 0.0000 0.0000 0.0000  6 Hg 2.72

---

Most stable: two (next structure +144 meV per atom)

---

--- one ---
## ZnSn2Hg2 (PBE-GGA)

Data for a relaxed ZnSn2Hg2 crystal.

Output
D(E_F): 2.1 states/eV per cell
total moment: 0.00 μB/cell

Cell lengths 7.1858, 7.1858, 5.1406 Å; angles 90.00, 90.00, 90.00 degrees
Last column: nearest neighbours and their distance in Å.
Element x y z (fractional)
1 Hg 0.6667 0.8333 0.5000  6 Sn 3.18-3.43, 1 Hg 3.39
2 Sn 0.1497 0.3503 0.0000  2 Zn 2.74, 1 Sn 3.04
3 Sn 0.6497 0.1497 0.0000  2 Zn 2.74, 1 Sn 3.04
4 Hg 0.3333 0.1667 0.5000  6 Sn 3.18-3.43, 1 Hg 3.39
5 Sn 0.3503 0.8503 0.0000  2 Zn 2.74, 1 Sn 3.04
6 Hg 0.1667 0.6667 0.5000  6 Sn 3.18-3.43, 1 Hg 3.39
7 Zn 0.0000 0.0000 0.0000  4 Sn 2.74
8 Sn 0.8503 0.6497 0.0000  2 Zn 2.74, 1 Sn 3.04
9 Zn 0.5000 0.5000 0.0000  4 Sn 2.74
10 Hg 0.8333 0.3333 0.5000  6 Sn 3.18-3.43, 1 Hg 3.39

---

--- two ---
## ZnSn2Hg2 (PBE-GGA)

Data for a relaxed ZnSn2Hg2 crystal.

Output
D(E_F): 3.8 states/eV per cell
total moment: 0.00 μB/cell

Cell lengths 7.1133, 7.1133, 5.0191 Å; angles 90.00, 90.00, 90.00 degrees
Last column: nearest neighbours and their distance in Å.
Element x y z (fractional)
1 Sn 0.3261 0.1739 0.5000  6 Hg 3.09-3.40
2 Hg 0.8532 0.6468 0.0000  2 Zn 2.72, 1 Hg 2.95
3 Zn 0.5000 0.5000 0.0000  4 Hg 2.72
4 Sn 0.8261 0.3261 0.5000  6 Hg 3.09-3.40
5 Sn 0.1739 0.6739 0.5000  6 Hg 3.09-3.40
6 Zn 0.0000 0.0000 0.0000  4 Hg 2.72
7 Hg 0.3532 0.8532 0.0000  2 Zn 2.72, 1 Hg 2.95
8 Hg 0.6468 0.1468 0.0000  2 Zn 2.72, 1 Hg 2.95
9 Hg 0.1468 0.3532 0.0000  2 Zn 2.72, 1 Hg 2.95
10 Sn 0.6739 0.8261 0.5000  6 Hg 3.09-3.40

---

--- three ---
## ZnSn2Hg2 (PBE-GGA)

Data for a relaxed ZnSn2Hg2 crystal.

Output
D(E_F): 1.9 states/eV per cell
total moment: 0.00 μB/cell

Cell lengths 4.2622, 4.2622, 8.2933 Å; angles 75.11, 75.11, 90.00 degrees
Last column: nearest neighbours and their distance in Å.
Element x y z (fractional)
1 Zn 0.0000 0.0000 0.0000  8 Hg 3.33
2 Hg 0.5919 0.5919 0.8161  1 Hg 2.84
3 Sn 0.2500 0.7500 0.5000  4 Sn 3.01, 4 Hg 3.24
4 Hg 0.4081 0.4081 0.1839  1 Hg 2.84
5 Sn 0.7500 0.2500 0.5000  4 Sn 3.01, 4 Hg 3.24

---

Most stable: one (next structure +42 meV per atom)